No. 1
First-principles (PBE) data for K3NaCu2H6 after structural relaxation, as listed in Alexandria via LeMat-Bulk.

Structure (POSCAR):
```
K3NaCu2H6
1.0
5.918 0.000 0.000
-2.959 5.125 0.000
0.000 0.000 7.090
H Na K Cu
6 1 3 2
direct
0.176 0.824 0.278 H
0.647 0.824 0.278 H
0.824 0.176 0.722 H
0.353 0.176 0.722 H
0.176 0.353 0.278 H
0.824 0.647 0.722 H
0.000 0.000 0.500 Na
0.333 0.667 0.705 K
0.667 0.333 0.295 K
0.000 0.000 0.000 K
0.667 0.333 0.731 Cu
0.333 0.667 0.269 Cu
```

SG: No. 164
calculated volume: 215 Å³/cell
uncorrected energy: -2.8773 eV per atom
mass density: 2.1 g/cm3



No. 2
First-principles (PBE) data for CdFe2MoIr after structural relaxation, as listed in Alexandria via LeMat-Bulk.

Structure (POSCAR):
```
CdFe2MoIr
1.0
4.453 0.000 0.000
0.000 4.824 0.000
0.000 0.000 4.453
Fe Cd Ir Mo
2 1 1 1
direct
0.000 0.000 0.500 Fe
0.500 0.000 0.000 Fe
0.000 0.000 0.000 Cd
0.500 0.500 0.500 Ir
0.000 0.500 0.000 Mo
```

SG: No. 123
calculated volume: 96 Å³/cell
uncorrected energy: -4.8680 eV per atom
D(E_F): 1.70 states/eV per atom
DFT formation energy: 2638 meV/atom
mass density: 8.9 g/cm3



No. 3
First-principles (PBE) data for PmErGa2Pd2 after structural relaxation, as listed in Alexandria via LeMat-Bulk.

Structure (POSCAR):
```
PmErGa2Pd2
1.0
4.513 0.000 0.000
-2.256 3.908 0.000
0.000 0.000 6.975
Pd Ga Pm Er
2 2 1 1
direct
0.667 0.333 0.274 Pd
0.333 0.667 0.726 Pd
0.667 0.333 0.731 Ga
0.333 0.667 0.269 Ga
0.000 0.000 0.000 Pm
0.000 0.000 0.500 Er
```

SG: No. 164
calculated volume: 123 Å³/cell
uncorrected energy: -5.1400 eV per atom
D(E_F): 0.67 states/eV per atom
DFT formation energy: -848 meV/atom
mass density: 9.0 g/cm3



No. 4
First-principles (PBE) data for NaRhSe2 after structural relaxation, as listed in Alexandria via LeMat-Bulk.

Structure (POSCAR):
```
NaRhSe2
1.0
7.407 0.000 0.000
0.000 7.407 0.000
3.704 3.704 3.463
Se Rh Na
4 2 2
direct
0.375 0.290 0.750 Se
0.710 0.125 0.250 Se
0.040 0.625 0.250 Se
0.875 0.960 0.750 Se
0.000 0.000 0.000 Rh
0.750 0.250 0.500 Rh
0.500 0.500 0.000 Na
0.250 0.750 0.500 Na
```

SG: No. 122
calculated volume: 190 Å³/cell
uncorrected energy: -4.3720 eV per atom
D(E_F): 0.08 states/eV per atom
E_form (uncorrected): -0.462 eV/atom
mass density: 5.0 g/cm3



No. 5
First-principles (PBE) data for Tb6HgRu after structural relaxation, as listed in Alexandria via LeMat-Bulk.

Structure (POSCAR):
```
Tb6HgRu
1.0
6.837 0.009 -0.006
3.412 5.948 0.001
3.395 1.973 6.395
Tb Ru Hg
6 1 1
direct
0.417 0.780 0.757 Tb
0.222 0.954 0.243 Tb
0.778 0.046 0.757 Tb
0.953 0.583 0.243 Tb
0.047 0.417 0.757 Tb
0.583 0.220 0.243 Tb
0.000 0.000 0.000 Ru
0.500 0.500 0.500 Hg
```

SG: No. 2
calculated volume: 260 Å³/cell
uncorrected energy: -4.7243 eV per atom
D(E_F): 1.36 states/eV per atom
polymorph energy (0 for the lowest one): 85 meV per atom
DFT formation energy: -54 meV/atom
mass density: 8.0 g/cm3



No. 6
First-principles (PBE) data for As2Pd5 after structural relaxation, as listed in Alexandria via LeMat-Bulk.

Structure (POSCAR):
```
As2Pd5
1.0
-1.396 -1.090 5.121
5.196 3.449 2.150
-1.685 6.266 4.142
Pd As
10 4
direct
0.750 0.533 0.000 Pd
0.536 0.949 0.830 Pd
0.036 0.221 0.830 Pd
0.892 0.775 0.555 Pd
0.464 0.051 0.170 Pd
0.964 0.779 0.170 Pd
0.392 0.670 0.555 Pd
0.250 0.467 0.000 Pd
0.608 0.330 0.445 Pd
0.108 0.225 0.445 Pd
0.364 0.634 0.246 As
0.864 0.120 0.246 As
0.636 0.366 0.754 As
0.136 0.880 0.754 As
```

SG: No. 15
calculated volume: 223 Å³/cell
uncorrected energy: -5.3836 eV per atom
D(E_F): 0.37 states/eV per atom
polymorph energy (0 for the lowest one): 1 meV per atom
DFT formation energy: -346 meV/atom
mass density: 10.2 g/cm3



No. 7
First-principles (PBE) data for Cr2B2Mo after structural relaxation, as listed in Alexandria via LeMat-Bulk.

Structure (POSCAR):
```
Cr2B2Mo
1.0
5.819 0.000 0.000
0.000 5.819 0.000
0.000 0.000 2.929
Cr Mo B
4 2 4
direct
0.670 0.830 0.500 Cr
0.170 0.670 0.500 Cr
0.330 0.170 0.500 Cr
0.830 0.330 0.500 Cr
0.500 0.500 0.000 Mo
0.000 0.000 0.000 Mo
0.388 0.888 0.000 B
0.612 0.112 0.000 B
0.888 0.612 0.000 B
0.112 0.388 0.000 B
```

SG: No. 127
calculated volume: 99 Å³/cell
uncorrected energy: -8.9998 eV per atom
D(E_F): 0.76 states/eV per atom
DFT formation energy: -313 meV/atom
mass density: 7.4 g/cm3



No. 8
First-principles (PBE) data for Er4Cu3Hg after structural relaxation, as listed in Alexandria via LeMat-Bulk.

Structure (POSCAR):
```
Er4Cu3Hg
1.0
3.502 0.000 0.000
0.000 4.990 0.000
0.000 0.000 9.892
Er Cu Hg
4 3 1
direct
0.000 0.500 0.264 Er
0.000 0.500 0.736 Er
0.000 0.000 0.500 Er
0.000 0.000 0.000 Er
0.500 0.000 0.252 Cu
0.500 0.500 0.500 Cu
0.500 0.000 0.748 Cu
0.500 0.500 0.000 Hg
```

SG: No. 47
calculated volume: 173 Å³/cell
uncorrected energy: -4.1593 eV per atom
D(E_F): 0.69 states/eV per atom
polymorph energy (0 for the lowest one): 0 meV per atom
DFT formation energy: -304 meV/atom
mass density: 10.2 g/cm3



> Which of these has the lowest mass density?

K3NaCu2H6



> Which of these has the lowest uncorrected energy?

Cr2B2Mo



> Which value of calculated volume does entry 3 give?

123 Å³/cell